[1]
An optimized crystal structure of BaPb2, computed with PBE.

Cell lengths 5.4534, 8.2666, 10.0391 Å; angles 90.00, 90.00, 90.00 degrees
Closest atoms and distances in Å follow each position.
Fractional coordinates of all 12 atoms:
1 Ba 0.0000 0.2500 0.0534  12 Pb 3.81-4.26
2 Ba 0.0000 0.7500 0.9466  12 Pb 3.81-4.26
3 Ba 0.5000 0.2500 0.4466  12 Pb 3.81-4.26
4 Ba 0.5000 0.7500 0.5534  12 Pb 3.81-4.26
5 Pb 0.0000 0.0536 0.6613  4 Pb 3.25-3.36
6 Pb 0.0000 0.4464 0.6613  4 Pb 3.25-3.36
7 Pb 0.0000 0.5536 0.3387  4 Pb 3.25-3.36
8 Pb 0.0000 0.9464 0.3387  4 Pb 3.25-3.36
9 Pb 0.5000 0.0536 0.8387  4 Pb 3.25-3.36
10 Pb 0.5000 0.4464 0.8387  4 Pb 3.25-3.36
11 Pb 0.5000 0.5536 0.1613  4 Pb 3.25-3.36
12 Pb 0.5000 0.9464 0.1613  4 Pb 3.25-3.36

- E_form (eV per formula unit) = -1.34
- SG = No. 74

[2]
An optimized crystal structure of Ba2Pb13, computed with PBE.

Cell lengths 10.2898, 10.2898, 10.2898 Å; angles 51.62, 51.62, 51.62 degrees
Closest atoms and distances in Å follow each position.
Fractional coordinates of all 15 atoms:
1 Ba 0.2442 0.2442 0.2442  6 Pb 3.46-3.79
2 Ba 0.7558 0.7558 0.7558  6 Pb 3.46-3.79
3 Pb 0.1383 0.7441 0.7441  5 Pb 3.30-3.53
4 Pb 0.1513 0.5064 0.5064  6 Pb 3.18-3.51, 1 Ba 3.46
5 Pb 0.2559 0.2559 0.8617  5 Pb 3.30-3.53
6 Pb 0.2559 0.8617 0.2559  5 Pb 3.30-3.53
7 Pb 0.4936 0.4935 0.8487  6 Pb 3.18-3.51, 1 Ba 3.46
8 Pb 0.4936 0.8487 0.4936  6 Pb 3.18-3.51, 1 Ba 3.46
9 Pb 0.5000 0.5000 0.5000  12 Pb 3.33-3.51
10 Pb 0.5065 0.1513 0.5065  6 Pb 3.18-3.51, 1 Ba 3.46
11 Pb 0.5065 0.5064 0.1513  6 Pb 3.18-3.51, 1 Ba 3.46
12 Pb 0.7441 0.1383 0.7441  5 Pb 3.30-3.53
13 Pb 0.7441 0.7441 0.1383  5 Pb 3.30-3.53
14 Pb 0.8487 0.4936 0.4935  6 Pb 3.18-3.51, 1 Ba 3.46
15 Pb 0.8617 0.2559 0.2559  5 Pb 3.30-3.53

- E_form (eV per formula unit) = 0.19
- SG = No. 166

[3]
An optimized crystal structure of BaPb, computed with PBE.

Cell lengths 4.1998, 4.1998, 12.3742 Å; angles 90.00, 90.00, 120.00 degrees
Closest atoms and distances in Å follow each position.
Fractional coordinates of all 4 atoms:
1 Ba 0.3333 0.6667 0.0000  4 Pb 3.51-3.62
2 Ba 0.6667 0.3333 0.5000  4 Pb 3.51-3.62
3 Pb 0.3333 0.6667 0.2833  4 Ba 3.51-3.62
4 Pb 0.6667 0.3333 0.7833  4 Ba 3.51-3.62

- E_form (eV per formula unit) = -0.07
- SG = No. 186

[4]
An optimized crystal structure of BaPb, computed with PBE.

Cell lengths 13.3883, 4.6498, 8.1673 Å; angles 90.00, 109.35, 90.00 degrees
Closest atoms and distances in Å follow each position.
Fractional coordinates of all 12 atoms:
1 Ba 0.0000 0.0000 0.0000  7 Pb 3.61-3.86, 1 Ba 3.74
2 Ba 0.0048 0.0000 0.5448  4 Ba 3.74-4.11, 7 Pb 3.88-4.07
3 Ba 0.2046 0.5000 0.3754  5 Pb 3.58-3.96, 1 Ba 3.79
4 Ba 0.5000 0.5000 0.0000  7 Pb 3.61-3.86, 1 Ba 3.74
5 Ba 0.5048 0.5000 0.5448  4 Ba 3.74-4.11, 7 Pb 3.88-4.07
6 Ba 0.7046 0.0000 0.3754  5 Pb 3.58-3.96, 1 Ba 3.79
7 Pb 0.1976 0.5000 0.8863  4 Pb 3.31-3.40
8 Pb 0.3131 0.0000 0.7223  3 Pb 3.31-3.54, 4 Ba 3.58-3.61
9 Pb 0.3425 0.0000 0.1697  3 Pb 3.40-3.54, 4 Ba 3.70
10 Pb 0.6976 0.0000 0.8863  4 Pb 3.31-3.40
11 Pb 0.8131 0.5000 0.7223  3 Pb 3.31-3.54, 4 Ba 3.58-3.61
12 Pb 0.8425 0.5000 0.1697  3 Pb 3.40-3.54, 4 Ba 3.70

- E_form (eV per formula unit) = -0.71
- SG = No. 8

[5]
An optimized crystal structure of BaPb5, computed with PBE.

Cell lengths 13.4535, 3.9492, 7.9811 Å; angles 90.00, 107.35, 90.00 degrees
Closest atoms and distances in Å follow each position.
Fractional coordinates of all 12 atoms:
1 Ba 0.0000 0.0000 0.0000  11 Pb 3.67-4.04, 2 Ba 3.95
2 Ba 0.5000 0.5000 0.0000  11 Pb 3.67-4.04, 2 Ba 3.95
3 Pb 0.0038 0.0000 0.5058  8 Pb 3.48-3.58
4 Pb 0.1728 0.5000 0.3560  6 Pb 3.25-3.48
5 Pb 0.1856 0.5000 0.8288  7 Pb 3.38-3.73, 2 Ba 3.75
6 Pb 0.3202 0.0000 0.1833  7 Pb 3.37-3.63, 2 Ba 3.74
7 Pb 0.3268 0.0000 0.6416  7 Pb 3.25-3.63
8 Pb 0.5038 0.5000 0.5058  8 Pb 3.48-3.58
9 Pb 0.6728 0.0000 0.3560  6 Pb 3.25-3.48
10 Pb 0.6856 0.0000 0.8288  7 Pb 3.38-3.73, 2 Ba 3.75
11 Pb 0.8202 0.5000 0.1833  7 Pb 3.37-3.63, 2 Ba 3.74
12 Pb 0.8268 0.5000 0.6416  7 Pb 3.25-3.63

- E_form (eV per formula unit) = -0.93
- SG = No. 8

[6]
An optimized crystal structure of BaPb, computed with PBE.

Cell lengths 4.6553, 4.6553, 7.7525 Å; angles 90.00, 90.00, 90.00 degrees
Closest atoms and distances in Å follow each position.
Fractional coordinates of all 4 atoms:
1 Ba 0.2500 0.2500 0.1645  5 Pb 3.40-3.75
2 Ba 0.7500 0.7500 0.8355  5 Pb 3.40-3.75
3 Pb 0.2500 0.2500 0.6036  5 Ba 3.40-3.75, 4 Pb 3.66
4 Pb 0.7500 0.7500 0.3964  5 Ba 3.40-3.75, 4 Pb 3.66

- E_form (eV per formula unit) = -0.40
- SG = No. 129